[1]
An optimized crystal structure of Be4PtAu, computed with GGA-PBEsol.

Computed properties:
VASP energy in eV/atom: -4.8120
Fermi-level density of states in states/eV/atom: 0.25
Calculated formation energy in eV/atom: -0.3307
Symmetry: F-43m

a = 4.4466 Å, b = 4.4466 Å, c = 4.4466 Å
α = 60.00°, β = 60.00°, γ = 60.00°
With the nearest neighbours (Å) after each atom.
Positions (direct):
1 Be 0.1251 0.1251 0.1251  6 Be 2.22
2 Be 0.1251 0.1251 0.6248  6 Be 2.22
3 Be 0.1251 0.6248 0.1251  6 Be 2.22
4 Be 0.6248 0.1251 0.1251  6 Be 2.22
5 Pt 0.5000 0.5000 0.5000  12 Be 2.61, 4 Au 2.72
6 Au 0.7500 0.7500 0.7500  12 Be 2.61, 4 Pt 2.72

[2]
An optimized crystal structure of Y2AsIr, computed with GGA-PBEsol.

Computed properties:
VASP energy in eV/atom: -8.0329
Fermi-level density of states in states/eV/atom: 0.45
Calculated formation energy in eV/atom: -0.8894
Symmetry: Cmmm

a = 4.8111 Å, b = 4.8111 Å, c = 3.5527 Å
α = 90.00°, β = 90.00°, γ = 90.06°
With the nearest neighbours (Å) after each atom.
Positions (direct):
1 Y 0.0000 0.5000 0.0000  4 As 2.99, 4 Ir 2.99
2 Y 0.5000 0.0000 0.0000  4 As 2.99, 4 Ir 2.99
3 As 0.0000 0.0000 0.5000  8 Y 2.99
4 Ir 0.5000 0.5000 0.5000  8 Y 2.99

[3]
An optimized crystal structure of TaIn2SbH, computed with GGA-PBEsol.

Computed properties:
VASP energy in eV/atom: -4.6653
Fermi-level density of states in states/eV/atom: 0.76
Symmetry: P4/mmm

a = 5.5942 Å, b = 5.5942 Å, c = 3.4669 Å
α = 90.00°, β = 90.00°, γ = 90.00°
With the nearest neighbours (Å) after each atom.
Positions (direct):
1 Ta 0.0000 0.0000 0.0000  2 H 1.73
2 In 0.0000 0.5000 0.0000  2 Ta 2.80
3 In 0.5000 0.0000 0.0000  2 Ta 2.80
4 Sb 0.5000 0.5000 0.5000  8 In 3.29, 2 Sb 3.47
5 H 0.0000 0.0000 0.5000  2 Ta 1.73

[4]
An optimized crystal structure of YAg3, computed with GGA-PBEsol.

Computed properties:
VASP energy in eV/atom: -4.4685
Fermi-level density of states in states/eV/atom: 0.46
Calculated formation energy in eV/atom: -0.2796
Symmetry: Pmmn

a = 4.9557 Å, b = 6.0505 Å, c = 5.1362 Å
α = 90.00°, β = 90.00°, γ = 90.00°
With the nearest neighbours (Å) after each atom.
Positions (direct):
1 Y 0.2500 0.2500 0.1541  12 Ag 2.97-3.04
2 Y 0.7500 0.7500 0.8459  12 Ag 2.97-3.04
3 Ag 0.2500 0.5054 0.6595  8 Ag 2.86-3.09, 4 Y 2.97-3.04
4 Ag 0.2500 0.7500 0.1832  8 Ag 2.86-3.07, 4 Y 3.02-3.03
5 Ag 0.2500 0.9946 0.6595  8 Ag 2.86-3.09, 4 Y 2.97-3.04
6 Ag 0.7500 0.0054 0.3405  8 Ag 2.86-3.09, 4 Y 2.97-3.04
7 Ag 0.7500 0.2500 0.8168  8 Ag 2.86-3.07, 4 Y 3.02-3.03
8 Ag 0.7500 0.4946 0.3405  8 Ag 2.86-3.09, 4 Y 2.97-3.04

[5]
An optimized crystal structure of Sc2Be, computed with GGA-PBEsol.

Computed properties:
VASP energy in eV/atom: -5.6475
Fermi-level density of states in states/eV/atom: 1.21
Energy above the lowest structure with this stoichiometry in meV per atom: 118.4
Calculated formation energy in eV/atom: 0.0892
Symmetry: I4/mcm

a = 5.2994 Å, b = 5.2994 Å, c = 5.2994 Å
α = 106.71°, β = 106.71°, γ = 115.14°
With the nearest neighbours (Å) after each atom.
Positions (direct):
1 Sc 0.1764 0.6764 0.8528  4 Be 2.73
2 Sc 0.3236 0.1764 0.5000  4 Be 2.73
3 Sc 0.6764 0.8236 0.5000  4 Be 2.73
4 Sc 0.8236 0.3236 0.1472  4 Be 2.73
5 Be 0.2500 0.2500 0.0000  8 Sc 2.73, 2 Be 2.84
6 Be 0.7500 0.7500 0.0000  8 Sc 2.73, 2 Be 2.84

[6]
An optimized crystal structure of AlRuPt2, computed with GGA-PBEsol.

Computed properties:
VASP energy in eV/atom: -7.4403
Fermi-level density of states in states/eV/atom: 0.88
Calculated formation energy in eV/atom: -0.3925
Symmetry: Pmmm

a = 2.7368 Å, b = 3.8307 Å, c = 5.4215 Å
α = 90.00°, β = 90.00°, γ = 90.00°
With the nearest neighbours (Å) after each atom.
Positions (direct):
1 Al 0.0000 0.0000 0.0000  2 Ru 2.71, 8 Pt 2.72, 2 Al 2.74
2 Ru 0.0000 0.0000 0.5000  2 Al 2.71, 8 Pt 2.71, 2 Ru 2.74
3 Pt 0.5000 0.5000 0.2518  4 Pt 2.69-2.74, 4 Ru 2.71, 4 Al 2.72
4 Pt 0.5000 0.5000 0.7482  4 Pt 2.69-2.74, 4 Ru 2.71, 4 Al 2.72

[7]
An optimized crystal structure of CeTm3S6, computed with GGA-PBEsol.

Computed properties:
VASP energy in eV/atom: -6.8589
Fermi-level density of states in states/eV/atom: 0.72
Symmetry: P2_1/m

a = 10.8106 Å, b = 3.8719 Å, c = 11.0814 Å
α = 90.00°, β = 108.82°, γ = 90.00°
With the nearest neighbours (Å) after each atom.
Positions (direct):
1 Ce 0.0496 0.2500 0.1950  8 S 2.85-2.96
2 Ce 0.9504 0.7500 0.8050  8 S 2.85-2.96
3 Tm 0.1593 0.2500 0.5855  6 S 2.61-2.71
4 Tm 0.3208 0.7500 0.9999  7 S 2.64-2.84
5 Tm 0.4407 0.2500 0.3336  6 S 2.61-2.70
6 Tm 0.5593 0.7500 0.6664  6 S 2.61-2.70
7 Tm 0.6792 0.2500 0.0001  7 S 2.64-2.84
8 Tm 0.8407 0.7500 0.4145  6 S 2.61-2.71
9 S 0.0839 0.7500 0.4056  3 Tm 2.66-2.71, 2 Ce 2.96
10 S 0.1194 0.2500 0.9643  2 Tm 2.84, 3 Ce 2.85-2.89
11 S 0.1950 0.7500 0.7508  3 Tm 2.61-2.65, 1 Ce 2.89
12 S 0.2640 0.7500 0.2284  3 Tm 2.70-2.79, 2 Ce 2.95
13 S 0.3926 0.2500 0.5577  4 Tm 2.64-2.70
14 S 0.4819 0.2500 0.1140  4 Tm 2.61-2.81
15 S 0.5181 0.7500 0.8860  4 Tm 2.61-2.81
16 S 0.6074 0.7500 0.4423  4 Tm 2.64-2.70
17 S 0.7360 0.2500 0.7716  3 Tm 2.70-2.79, 2 Ce 2.95
18 S 0.8050 0.2500 0.2492  3 Tm 2.61-2.65, 1 Ce 2.89
19 S 0.8806 0.7500 0.0357  2 Tm 2.84, 3 Ce 2.85-2.89
20 S 0.9161 0.2500 0.5944  3 Tm 2.66-2.71, 2 Ce 2.96

[8]
An optimized crystal structure of Tb2NiIr, computed with GGA-PBEsol.

Computed properties:
VASP energy in eV/atom: -7.0973
Fermi-level density of states in states/eV/atom: 0.50
Calculated formation energy in eV/atom: -0.5971
Symmetry: Fm-3m

a = 4.7588 Å, b = 4.7588 Å, c = 4.7588 Å
α = 60.00°, β = 60.00°, γ = 60.00°
With the nearest neighbours (Å) after each atom.
Positions (direct):
1 Tb 0.2500 0.2500 0.2500  4 Ni 2.91, 4 Ir 2.91
2 Tb 0.7500 0.7500 0.7500  4 Ir 2.91, 4 Ni 2.91
3 Ni 0.0000 0.0000 0.0000  8 Tb 2.91
4 Ir 0.5000 0.5000 0.5000  8 Tb 2.91

[9]
An optimized crystal structure of CaTiOs2, computed with GGA-PBEsol.

Computed properties:
VASP energy in eV/atom: -8.4573
Fermi-level density of states in states/eV/atom: 1.05
Calculated formation energy in eV/atom: 0.2645
Symmetry: Fm-3m

a = 4.4870 Å, b = 4.4870 Å, c = 4.4870 Å
α = 60.00°, β = 60.00°, γ = 60.00°
With the nearest neighbours (Å) after each atom.
Positions (direct):
1 Ca 0.0000 0.0000 0.0000  8 Os 2.75
2 Ti 0.5000 0.5000 0.5000  8 Os 2.75
3 Os 0.2500 0.2500 0.2500  4 Ca 2.75, 4 Ti 2.75
4 Os 0.7500 0.7500 0.7500  4 Ca 2.75, 4 Ti 2.75

[10]
An optimized crystal structure of BaCu2PdRh, computed with GGA-PBEsol.

Computed properties:
VASP energy in eV/atom: -4.5245
Fermi-level density of states in states/eV/atom: 0.70
Calculated formation energy in eV/atom: 0.4584
Symmetry: P4/mmm

a = 4.7172 Å, b = 4.7172 Å, c = 4.8881 Å
α = 90.00°, β = 90.00°, γ = 90.00°
With the nearest neighbours (Å) after each atom.
Positions (direct):
1 Ba 0.0000 0.0000 0.0000  4 Rh 3.34, 8 Cu 3.40
2 Cu 0.0000 0.5000 0.5000  2 Pd 2.36
3 Cu 0.5000 0.0000 0.5000  2 Pd 2.36
4 Pd 0.5000 0.5000 0.5000  4 Cu 2.36, 2 Rh 2.44
5 Rh 0.5000 0.5000 0.0000  2 Pd 2.44

[11]
An optimized crystal structure of Mo3N2Cl11, computed with GGA-PBEsol.

Computed properties:
VASP energy in eV/atom: -5.3981
Fermi-level density of states in states/eV/atom: 0.34
Symmetry: Pca2_1

a = 13.0982 Å, b = 10.0869 Å, c = 13.5643 Å
α = 90.00°, β = 90.00°, γ = 90.00°
With the nearest neighbours (Å) after each atom.
Positions (direct):
1 Mo 0.0246 0.1840 0.0000  2 N 2.04-2.05, 3 Cl 2.27
2 Mo 0.1876 0.3857 0.8326  1 N 1.68
3 Mo 0.2234 0.7123 0.3917  1 N 1.68
4 Mo 0.2766 0.7123 0.8917  1 N 1.68
5 Mo 0.3124 0.3857 0.3326  1 N 1.68
6 Mo 0.4754 0.1840 0.5000  2 N 2.04-2.05, 3 Cl 2.27
7 Mo 0.5246 0.8160 0.0000  2 N 2.04-2.05, 3 Cl 2.27
8 Mo 0.6876 0.6143 0.8326  1 N 1.68
9 Mo 0.7234 0.2877 0.3917  1 N 1.68
10 Mo 0.7766 0.2877 0.8917  1 N 1.68
11 Mo 0.8124 0.6143 0.3326  1 N 1.68
12 Mo 0.9754 0.8160 0.5000  2 N 2.04-2.05, 3 Cl 2.27
13 N 0.1082 0.7549 0.4365  1 Mo 1.68
14 N 0.1096 0.2950 0.9042  1 Mo 1.68
15 N 0.3904 0.2950 0.4042  1 Mo 1.68
16 N 0.3918 0.7549 0.9365  1 Mo 1.68
17 N 0.6082 0.2451 0.4365  1 Mo 1.68
18 N 0.6096 0.7050 0.9042  1 Mo 1.68
19 N 0.8904 0.7050 0.4042  1 Mo 1.68
20 N 0.8918 0.2451 0.9365  1 Mo 1.68
21 Cl 0.0128 0.3776 0.0842  1 Mo 2.27
22 Cl 0.0253 0.0387 0.8718  1 Mo 2.27
23 Cl 0.0687 0.9446 0.6041  1 Mo 2.27
24 Cl 0.0936 0.5861 0.8366  1 Mo 2.37
25 Cl 0.1303 0.3327 0.6821  1 Mo 2.24
26 Cl 0.1718 0.5707 0.2603  1 Mo 2.38
27 Cl 0.1743 0.1160 0.0702  1 Mo 2.29
28 Cl 0.1742 0.2518 0.3337  1 Mo 2.26
29 Cl 0.1791 0.7847 0.0177  1 Mo 2.26
30 Cl 0.2288 0.4948 0.4775  2 Mo 2.48-2.50
31 Cl 0.2493 0.8802 0.7870  1 Mo 2.24
32 Cl 0.2507 0.8802 0.2870  1 Mo 2.24
33 Cl 0.2712 0.4948 0.9775  2 Mo 2.48-2.50
34 Cl 0.3209 0.7847 0.5177  1 Mo 2.26
35 Cl 0.3257 0.1160 0.5702  1 Mo 2.29
36 Cl 0.3258 0.2518 0.8337  1 Mo 2.26
37 Cl 0.3282 0.5707 0.7603  1 Mo 2.38
38 Cl 0.3697 0.3327 0.1821  1 Mo 2.24
39 Cl 0.4064 0.5861 0.3366  1 Mo 2.37
40 Cl 0.4313 0.9446 0.1041  1 Mo 2.27
41 Cl 0.4747 0.0387 0.3718  1 Mo 2.27
42 Cl 0.4872 0.3776 0.5842  1 Mo 2.27
43 Cl 0.5128 0.6224 0.0842  1 Mo 2.27
44 Cl 0.5253 0.9613 0.8718  1 Mo 2.27
45 Cl 0.5687 0.0554 0.6041  1 Mo 2.27
46 Cl 0.5936 0.4139 0.8366  1 Mo 2.37
47 Cl 0.6303 0.6673 0.6821  1 Mo 2.24
48 Cl 0.6718 0.4293 0.2603  1 Mo 2.38
49 Cl 0.6742 0.7482 0.3337  1 Mo 2.26
50 Cl 0.6743 0.8840 0.0702  1 Mo 2.29
51 Cl 0.6791 0.2153 0.0177  1 Mo 2.26
52 Cl 0.7288 0.5052 0.4775  2 Mo 2.48-2.50
53 Cl 0.7493 0.1198 0.7870  1 Mo 2.24
54 Cl 0.7507 0.1198 0.2870  1 Mo 2.24
55 Cl 0.7712 0.5052 0.9775  2 Mo 2.48-2.50
56 Cl 0.8209 0.2153 0.5177  1 Mo 2.26
57 Cl 0.8258 0.7482 0.8337  1 Mo 2.26
58 Cl 0.8257 0.8840 0.5702  1 Mo 2.29
59 Cl 0.8282 0.4293 0.7603  1 Mo 2.38
60 Cl 0.8697 0.6673 0.1821  1 Mo 2.24
61 Cl 0.9064 0.4139 0.3366  1 Mo 2.37
62 Cl 0.9313 0.0554 0.1041  1 Mo 2.27
63 Cl 0.9747 0.9613 0.3718  1 Mo 2.27
64 Cl 0.9872 0.6224 0.5842  1 Mo 2.27

[12]
An optimized crystal structure of ZnFeNi2, computed with GGA-PBEsol.

Computed properties:
VASP energy in eV/atom: -5.7224
Fermi-level density of states in states/eV/atom: 1.04
Calculated formation energy in eV/atom: -0.0073
Symmetry: R3m

a = 8.2722 Å, b = 8.2722 Å, c = 8.2722 Å
α = 17.44°, β = 17.44°, γ = 17.44°
With the nearest neighbours (Å) after each atom.
Positions (direct):
1 Zn 0.0000 0.0000 0.0000  3 Ni 2.50, 6 Zn 2.51, 3 Fe 2.59
2 Fe 0.7546 0.7546 0.7546  3 Ni 2.44, 6 Fe 2.51, 3 Zn 2.59
3 Ni 0.2500 0.2500 0.2500  9 Ni 2.47-2.51, 3 Zn 2.50
4 Ni 0.5015 0.5015 0.5015  3 Fe 2.44, 9 Ni 2.47-2.51